[1]
First-principles (GGA-PBE) data for a relaxed Mn4V5Cr crystal, as listed in the Alexandria database.

a b c (Å): 2.8825 2.8825 14.4341
angles (deg): 90.00 90.00 90.00
With the nearest neighbours (Å) after each atom.
Element x y z (fractional)
1 Mn 0.0000 0.0000 0.4006  8 V 2.49-2.50
2 Mn 0.0000 0.0000 0.2019  8 V 2.49-2.50
3 Mn 0.0000 0.0000 0.5994  8 V 2.49-2.50
4 Mn 0.0000 0.0000 0.7981  8 V 2.49-2.50
5 V 0.5000 0.5000 0.6992  8 Mn 2.49-2.50
6 V 0.5000 0.5000 0.1013  4 Mn 2.50, 4 Cr 2.51
7 V 0.5000 0.5000 0.8987  4 Mn 2.50, 4 Cr 2.51
8 V 0.5000 0.5000 0.3008  8 Mn 2.49-2.50
9 V 0.5000 0.5000 0.5000  8 Mn 2.49
10 Cr 0.0000 0.0000 0.0000  8 V 2.51

Calculated values
**Space group**: No. 123
**Formation energy from the elements**: -240 meV per atom

[2]
First-principles (GGA-PBE) data for a relaxed KGa2SiS crystal, as listed in the Alexandria database.

a b c (Å): 5.7343 5.5368 5.7343
angles (deg): 90.00 90.00 90.00
With the nearest neighbours (Å) after each atom.
Element x y z (fractional)
1 Ga 0.0000 0.0000 0.5000  2 K 2.87
2 Ga 0.5000 0.0000 0.0000  2 K 2.87
3 Si 0.0000 0.5000 0.0000  2 K 2.77
4 K 0.0000 0.0000 0.0000  2 Si 2.77, 4 Ga 2.87
5 S 0.5000 0.5000 0.5000  8 Ga 3.99, 4 Si 4.05

Calculated values
**Space group**: No. 123
**Raw total energy**: -0.1375 Ry per atom

[3]
First-principles (GGA-PBE) data for a relaxed Ac8SnBi5 crystal, as listed in the Alexandria database.

a b c (Å): 8.8777 8.8777 8.8777
angles (deg): 109.57 109.28 109.57
With the nearest neighbours (Å) after each atom.
Element x y z (fractional)
1 Bi 0.3766 0.1268 0.0038  8 Ac 3.41-3.71
2 Bi 0.9962 0.3728 0.1230  8 Ac 3.41-3.71
3 Bi 0.7502 0.6272 0.6234  8 Ac 3.41-3.71
4 Bi 0.8770 0.8732 0.2498  8 Ac 3.41-3.71
5 Bi 0.5000 0.0000 0.5000  8 Ac 3.42-3.72
6 Sn 0.2500 0.5000 0.7500  8 Ac 3.36-3.66
7 Ac 0.7716 0.2527 0.3795  5 Bi 3.41-3.71, 1 Sn 3.66
8 Ac 0.4810 0.6078 0.2284  5 Bi 3.41-3.71, 1 Sn 3.66
9 Ac 0.1268 0.7473 0.5190  5 Bi 3.41-3.71, 1 Sn 3.66
10 Ac 0.2656 0.2540 0.3796  1 Sn 3.36, 5 Bi 3.41-3.72
11 Ac 0.1256 0.7460 0.0116  1 Sn 3.36, 5 Bi 3.41-3.72
12 Ac 0.6204 0.8860 0.8744  1 Sn 3.36, 5 Bi 3.41-3.72
13 Ac 0.6205 0.3922 0.8732  5 Bi 3.41-3.71, 1 Sn 3.66
14 Ac 0.9884 0.1140 0.7344  1 Sn 3.36, 5 Bi 3.41-3.72

Calculated values
**Space group**: No. 82
**Formation energy from the elements**: -802 meV per atom

[4]
First-principles (GGA-PBE) data for a relaxed NbWSe4 crystal, as listed in the Alexandria database.

a b c (Å): 3.3981 3.3981 13.7513
angles (deg): 90.00 90.00 120.00
With the nearest neighbours (Å) after each atom.
Element x y z (fractional)
1 Se 0.0000 0.0000 0.3754  3 Nb 2.60
2 Se 0.3333 0.6667 0.8797  3 W 2.57
3 Se 0.0000 0.0000 0.6246  3 Nb 2.60
4 Se 0.3333 0.6667 0.1203  3 W 2.57
5 W 0.0000 0.0000 0.0000  6 Se 2.57
6 Nb 0.3333 0.6667 0.5000  6 Se 2.60

Calculated values
**Space group**: No. 187
**Raw total energy**: -0.5039 Ry per atom

[5]
First-principles (GGA-PBE) data for a relaxed Cu3C crystal, as listed in the Alexandria database.

a b c (Å): 7.1107 7.1107 7.1107
angles (deg): 21.64 21.64 21.64
With the nearest neighbours (Å) after each atom.
Element x y z (fractional)
1 Cu 0.5000 0.5000 0.5000  12 Cu 2.61-2.67
2 Cu 0.2676 0.2676 0.2676  3 C 2.06
3 Cu 0.7324 0.7324 0.7324  3 C 2.06
4 C 0.0000 0.0000 0.0000  6 Cu 2.06

Calculated values
**Space group**: No. 166
**Formation energy from the elements**: 854 meV per atom

[6]
First-principles (GGA-PBE) data for a relaxed La2BeW crystal, as listed in the Alexandria database.

a b c (Å): 5.8452 5.8452 4.8971
angles (deg): 65.23 65.23 37.61
With the nearest neighbours (Å) after each atom.
Element x y z (fractional)
1 Be 0.8011 0.8011 0.6992  2 W 2.36
2 La 0.0235 0.0235 0.9764  4 W 3.19, 4 La 3.19-3.47, 4 Be 3.29-3.34
3 La 0.2302 0.2302 0.2698  4 Be 3.17, 4 La 3.19-3.47, 4 W 3.25-3.40
4 W 0.4452 0.4452 0.5546  2 Be 2.36

Calculated values
**Space group**: No. 44
**Formation energy from the elements**: 411 meV per atom

[7]
First-principles (GGA-PBE) data for a relaxed Li6AgRh2 crystal, as listed in the Alexandria database.

a b c (Å): 2.6183 7.9431 7.9431
angles (deg): 56.38 70.89 70.89
With the nearest neighbours (Å) after each atom.
Element x y z (fractional)
1 Li 0.8476 0.6568 0.0000  5 Li 2.35-2.62
2 Li 0.4998 0.6569 0.3431  5 Li 2.35-2.62
3 Li 0.4998 0.3431 0.6569  5 Li 2.35-2.62
4 Li 0.1525 0.0000 0.3432  5 Li 2.35-2.62
5 Li 0.8476 0.0000 0.6568  5 Li 2.35-2.62
6 Li 0.1525 0.3432 0.0000  5 Li 2.35-2.62
7 Ag 0.0000 0.0000 0.0000  2 Ag 2.62, 12 Li 2.88-2.90
8 Rh 0.3332 0.3333 0.3333  2 Rh 2.62, 12 Li 2.79-2.80
9 Rh 0.6668 0.6667 0.6667  2 Rh 2.62, 12 Li 2.79-2.80

Calculated values
**Space group**: No. 12
**Formation energy from the elements**: -143 meV per atom

[8]
First-principles (GGA-PBE) data for a relaxed Mn2CuAgW crystal, as listed in the Alexandria database.

a b c (Å): 4.7716 4.5556 4.7716
angles (deg): 90.00 90.00 90.00
With the nearest neighbours (Å) after each atom.
Element x y z (fractional)
1 Ag 0.0000 0.0000 0.0000  2 Cu 2.28, 4 Mn 2.39
2 Mn 0.5000 0.0000 0.0000  2 Ag 2.39
3 Mn 0.0000 0.0000 0.5000  2 Ag 2.39
4 W 0.5000 0.5000 0.5000  8 Mn 3.30, 4 Cu 3.37
5 Cu 0.0000 0.5000 0.0000  2 Ag 2.28

Calculated values
**Space group**: No. 123
**Formation energy from the elements**: 1792 meV per atom

[9]
First-principles (GGA-PBE) data for a relaxed BaMn5 crystal, as listed in the Alexandria database.

a b c (Å): 8.2079 8.2079 3.8534
angles (deg): 90.00 90.00 152.77
With the nearest neighbours (Å) after each atom.
Element x y z (fractional)
1 Ba 0.9996 0.0004 0.0000  8 Mn 3.40-3.67
2 Mn 0.7893 0.2107 0.5000  6 Mn 2.34-2.52
3 Mn 0.2893 0.7107 0.0000  6 Mn 2.33-2.51
4 Mn 0.3720 0.6280 0.5000  4 Mn 2.33-2.34
5 Mn 0.6949 0.3051 0.0000  8 Mn 2.45-2.73
6 Mn 0.1882 0.8118 0.5000  8 Mn 2.51-2.73

Calculated values
**Space group**: No. 38
**Formation energy from the elements**: 527 meV per atom

[10]
First-principles (GGA-PBE) data for a relaxed TaAgBiSe2 crystal, as listed in the Alexandria database.

a b c (Å): 4.9421 5.3882 4.9421
angles (deg): 90.00 90.00 90.00
With the nearest neighbours (Å) after each atom.
Element x y z (fractional)
1 Ta 0.5000 0.5000 0.5000  4 Bi 3.49, 8 Se 3.66
2 Se 0.0000 0.0000 0.5000  2 Ag 2.47
3 Se 0.5000 0.0000 0.0000  2 Ag 2.47
4 Ag 0.0000 0.0000 0.0000  4 Se 2.47, 2 Bi 2.69
5 Bi 0.0000 0.5000 0.0000  2 Ag 2.69

Calculated values
**Space group**: No. 123
**Raw total energy**: -0.2852 Ry per atom

[11]
First-principles (GGA-PBE) data for a relaxed NaBeSn2Mo crystal, as listed in the Alexandria database.

a b c (Å): 4.8497 4.7805 4.8497
angles (deg): 90.00 90.00 90.00
With the nearest neighbours (Å) after each atom.
Element x y z (fractional)
1 Sn 0.0000 0.0000 0.5000  2 Be 2.42
2 Sn 0.5000 0.0000 0.0000  2 Be 2.42
3 Na 0.0000 0.5000 0.0000  2 Be 2.39
4 Be 0.0000 0.0000 0.0000  2 Na 2.39, 4 Sn 2.42
5 Mo 0.5000 0.5000 0.5000  8 Sn 3.40, 4 Na 3.43

Calculated values
**Space group**: No. 123
**Formation energy from the elements**: 928 meV per atom

[12]
First-principles (GGA-PBE) data for a relaxed Tb2PuAu crystal, as listed in the Alexandria database.

a b c (Å): 3.6036 3.6036 10.2401
angles (deg): 79.87 79.87 60.00
With the nearest neighbours (Å) after each atom.
Element x y z (fractional)
1 Tb 0.7393 0.7393 0.7820  3 Au 3.02
2 Tb 0.2607 0.2607 0.2180  3 Au 3.02
3 Au 0.0000 0.0000 0.0000  6 Tb 3.02
4 Pu 0.5000 0.5000 0.5000  6 Tb 3.51, 6 Pu 3.60

Calculated values
**Space group**: No. 166
**Formation energy from the elements**: -171 meV per atom

[13]
First-principles (GGA-PBE) data for a relaxed PrBeNb crystal, as listed in the Alexandria database.

a b c (Å): 4.8987 3.4621 10.4346
angles (deg): 90.00 90.00 135.03
With the nearest neighbours (Å) after each atom.
Element x y z (fractional)
1 Nb 0.1942 0.3884 0.1125  1 Nb 2.35
2 Nb 0.1942 0.3884 0.8875  1 Nb 2.35
3 Be 0.1947 0.3895 0.5000  8 Pr 3.06-3.07
4 Be 0.6939 0.3878 0.0000  8 Nb 2.71-2.72
5 Pr 0.6948 0.3895 0.6767  5 Be 3.06-3.37, 4 Nb 3.29
6 Pr 0.6948 0.3895 0.3233  5 Be 3.06-3.37, 4 Nb 3.29

Calculated values
**Space group**: No. 123
**Formation energy from the elements**: 314 meV per atom

[14]
First-principles (GGA-PBE) data for a relaxed FeNi3Pt3 crystal, as listed in the Alexandria database.

a b c (Å): 5.7173 5.7173 7.5990
angles (deg): 67.90 67.90 60.00
With the nearest neighbours (Å) after each atom.
Element x y z (fractional)
1 Ni 0.9327 0.4059 0.4220  5 Ni 2.33-2.38, 1 Pt 2.49, 1 Fe 2.50
2 Ni 0.4059 0.2393 0.4220  5 Ni 2.33-2.38, 1 Pt 2.49, 1 Fe 2.50
3 Ni 0.0673 0.5941 0.5780  5 Ni 2.33-2.38, 1 Pt 2.49, 1 Fe 2.50
4 Ni 0.7607 0.0673 0.5780  5 Ni 2.33-2.38, 1 Pt 2.49, 1 Fe 2.50
5 Ni 0.2393 0.9327 0.4220  5 Ni 2.33-2.38, 1 Pt 2.49, 1 Fe 2.50
6 Ni 0.5941 0.7607 0.5780  5 Ni 2.33-2.38, 1 Pt 2.49, 1 Fe 2.50
7 Fe 0.2942 0.2942 0.1175  3 Ni 2.50, 6 Pt 2.60-2.61
8 Fe 0.7058 0.7058 0.8825  3 Ni 2.50, 6 Pt 2.60-2.61
9 Pt 0.2691 0.7305 0.1711  2 Ni 2.49-2.65, 2 Fe 2.60-2.61
10 Pt 0.2695 0.1707 0.8289  2 Ni 2.49-2.65, 2 Fe 2.60-2.61
11 Pt 0.7305 0.8293 0.1711  2 Ni 2.49-2.65, 2 Fe 2.60-2.61
12 Pt 0.7309 0.2695 0.8289  2 Ni 2.49-2.65, 2 Fe 2.60-2.61
13 Pt 0.1707 0.7309 0.8289  2 Ni 2.49-2.65, 2 Fe 2.60-2.61
14 Pt 0.8293 0.2691 0.1711  2 Ni 2.49-2.65, 2 Fe 2.60-2.61

Calculated values
**Space group**: No. 148
**Formation energy from the elements**: 51 meV per atom

[15]
First-principles (GGA-PBE) data for a relaxed NdHo6Er2Sc crystal, as listed in the Alexandria database.

a b c (Å): 8.6797 9.0266 9.0266
angles (deg): 118.35 90.79 90.79
With the nearest neighbours (Å) after each atom.
Element x y z (fractional)
1 Er 0.9413 0.6766 0.7899  2 Sc 3.23-3.49, 5 Ho 3.29-3.41, 2 Nd 3.32-3.61
2 Er 0.0587 0.3234 0.2101  2 Sc 3.23-3.49, 5 Ho 3.29-3.41, 2 Nd 3.32-3.61
3 Er 0.5587 0.2101 0.3234  2 Sc 3.23-3.49, 5 Ho 3.29-3.41, 2 Nd 3.32-3.61
4 Er 0.4413 0.7899 0.6766  2 Sc 3.23-3.49, 5 Ho 3.29-3.41, 2 Nd 3.32-3.61
5 Ho 0.9077 0.2667 0.5229  2 Sc 3.28-3.37, 3 Er 3.33-3.41, 4 Ho 3.34-3.40
6 Ho 0.0923 0.7333 0.4771  2 Sc 3.28-3.37, 3 Er 3.33-3.41, 4 Ho 3.34-3.40
7 Ho 0.0535 0.1336 0.7890  1 Er 3.35, 7 Ho 3.39-3.59, 2 Nd 3.43-3.63
8 Ho 0.9465 0.8664 0.2110  1 Er 3.35, 7 Ho 3.39-3.59, 2 Nd 3.43-3.63
9 Ho 0.2063 0.5420 0.9590  1 Er 3.29, 1 Sc 3.30, 5 Ho 3.34-3.59, 1 Nd 3.57
10 Ho 0.4465 0.2110 0.8664  1 Er 3.35, 7 Ho 3.39-3.59, 2 Nd 3.43-3.63
11 Ho 0.7937 0.4580 0.0410  1 Er 3.29, 1 Sc 3.30, 5 Ho 3.34-3.59, 1 Nd 3.57
12 Ho 0.4077 0.5229 0.2667  2 Sc 3.28-3.37, 3 Er 3.33-3.41, 4 Ho 3.34-3.40
13 Ho 0.5923 0.4771 0.7333  2 Sc 3.28-3.37, 3 Er 3.33-3.41, 4 Ho 3.34-3.40
14 Ho 0.5535 0.7890 0.1336  1 Er 3.35, 7 Ho 3.39-3.59, 2 Nd 3.43-3.63
15 Ho 0.2937 0.0410 0.4580  1 Er 3.29, 1 Sc 3.30, 5 Ho 3.34-3.59, 1 Nd 3.57
16 Ho 0.7063 0.9590 0.5420  1 Er 3.29, 1 Sc 3.30, 5 Ho 3.34-3.59, 1 Nd 3.57
17 Sc 0.7500 0.5594 0.4406  4 Er 3.23-3.49, 6 Ho 3.28-3.37
18 Sc 0.2500 0.4406 0.5594  4 Er 3.23-3.49, 6 Ho 3.28-3.37
19 Nd 0.2500 0.9663 0.0337  4 Er 3.32-3.61, 6 Ho 3.43-3.63
20 Nd 0.7500 0.0337 0.9663  4 Er 3.32-3.61, 6 Ho 3.43-3.63

Calculated values
**Space group**: No. 15
**Formation energy from the elements**: 126 meV per atom

[16]
First-principles (GGA-PBE) data for a relaxed Sc2BAs crystal, as listed in the Alexandria database.

a b c (Å): 6.7785 6.7785 5.7074
angles (deg): 53.57 53.57 90.00
With the nearest neighbours (Å) after each atom.
Element x y z (fractional)
1 B 0.2500 0.7500 0.5000  4 Sc 2.35
2 B 0.5000 0.5000 0.0000  4 Sc 2.35
3 Sc 0.8750 0.8371 0.7500  2 B 2.35
4 Sc 0.5871 0.1250 0.2500  2 B 2.35
5 Sc 0.3750 0.4129 0.7500  2 B 2.35
6 Sc 0.1629 0.6250 0.2500  2 B 2.35
7 As 0.7500 0.2500 0.5000  4 Sc 2.70
8 As 0.0000 0.0000 0.0000  4 Sc 2.70

Calculated values
**Space group**: No. 122
**Formation energy from the elements**: -321 meV per atom

[17]
First-principles (GGA-PBE) data for a relaxed LiInN2 crystal, as listed in the Alexandria database.

a b c (Å): 6.2525 6.2525 6.2525
angles (deg): 32.02 32.02 32.02
With the nearest neighbours (Å) after each atom.
Element x y z (fractional)
1 N 0.8936 0.8936 0.8936  1 Li 1.89
2 N 0.1064 0.1064 0.1064  1 Li 1.89
3 In 0.5000 0.5000 0.5000  6 N 2.26
4 Li 0.0000 0.0000 0.0000  2 N 1.89

Calculated values
**Space group**: No. 166
**Raw total energy**: -0.3400 Ry per atom

[18]
First-principles (GGA-PBE) data for a relaxed Th2PaRu crystal, as listed in the Alexandria database.

a b c (Å): 3.3141 3.3141 10.9435
angles (deg): 81.29 81.29 60.00
With the nearest neighbours (Å) after each atom.
Element x y z (fractional)
1 Th 0.9023 0.9023 0.2931  3 Ru 2.94, 1 Pa 3.16
2 Th 0.0977 0.0977 0.7069  3 Ru 2.94, 1 Pa 3.16
3 Pa 0.0000 0.0000 0.0000  2 Th 3.16, 6 Pa 3.31
4 Ru 0.5000 0.5000 0.5000  6 Th 2.94

Calculated values
**Space group**: No. 166
**Formation energy from the elements**: 306 meV per atom

[19]
First-principles (GGA-PBE) data for a relaxed SnWI2N crystal, as listed in the Alexandria database.

a b c (Å): 5.7229 5.7229 3.8657
angles (deg): 90.00 90.00 90.00
With the nearest neighbours (Å) after each atom.
Element x y z (fractional)
1 W 0.0000 0.0000 0.0000  2 N 1.93
2 I 0.0000 0.5000 0.0000  2 W 2.86
3 I 0.5000 0.0000 0.0000  2 W 2.86
4 N 0.0000 0.0000 0.5000  2 W 1.93
5 Sn 0.5000 0.5000 0.5000  8 I 3.45, 2 Sn 3.87

Calculated values
**Space group**: No. 123
**Raw total energy**: -0.3869 Ry per atom

[20]
First-principles (GGA-PBE) data for a relaxed K2DyNb5O15 crystal, as listed in the Alexandria database.

a b c (Å): 12.7459 12.7459 3.9564
angles (deg): 90.00 90.00 90.00
With the nearest neighbours (Å) after each atom.
Element x y z (fractional)
1 O 0.8689 0.0587 0.0000  2 Nb 2.01-2.07
2 O 0.0008 0.3420 0.0000  2 Nb 1.93-2.01
3 O 0.6580 0.0008 0.0000  2 Nb 1.93-2.01
4 O 0.7165 0.7835 0.0000  2 Nb 2.01
5 O 0.5587 0.3689 0.0000  2 Nb 2.01-2.07
6 O 0.8149 0.9224 0.5000  2 Nb 2.01
7 O 0.2165 0.7165 0.0000  2 Nb 2.01
8 O 0.4413 0.6311 0.0000  2 Nb 2.01-2.07
9 O 0.5000 0.0000 0.5000  2 Nb 1.98
10 O 0.0587 0.1311 0.0000  2 Nb 2.01-2.07
11 O 0.0000 0.5000 0.5000  2 Nb 1.98
12 O 0.4992 0.8420 0.0000  2 Nb 1.93-2.01
13 O 0.5008 0.1580 0.0000  2 Nb 1.93-2.01
14 O 0.3689 0.4413 0.0000  2 Nb 2.01-2.07
15 O 0.1580 0.4992 0.0000  2 Nb 1.93-2.01
16 O 0.1311 0.9413 0.0000  2 Nb 2.01-2.07
17 O 0.9992 0.6580 0.0000  2 Nb 1.93-2.01
18 O 0.3149 0.5776 0.5000  2 Nb 2.01
19 O 0.6851 0.4224 0.5000  2 Nb 2.01
20 O 0.3420 0.9992 0.0000  2 Nb 1.93-2.01
21 O 0.9413 0.8689 0.0000  2 Nb 2.01-2.07
22 O 0.8420 0.5008 0.0000  2 Nb 1.93-2.01
23 O 0.4224 0.3149 0.5000  2 Nb 2.01
24 O 0.0776 0.8149 0.5000  2 Nb 2.01
25 O 0.2835 0.2165 0.0000  2 Nb 2.01
26 O 0.6311 0.5587 0.0000  2 Nb 2.01-2.07
27 O 0.9224 0.1851 0.5000  2 Nb 2.01
28 O 0.7835 0.2835 0.0000  2 Nb 2.01
29 O 0.1851 0.0776 0.5000  2 Nb 2.01
30 O 0.5776 0.6851 0.5000  2 Nb 2.01
31 Nb 0.0000 0.5000 0.0000  6 O 1.98-2.01
32 Nb 0.7118 0.4237 0.0000  6 O 1.93-2.07
33 Nb 0.0763 0.7882 0.0000  6 O 1.93-2.07
34 Nb 0.7882 0.9237 0.0000  6 O 1.93-2.07
35 Nb 0.2118 0.0763 0.0000  6 O 1.93-2.07
36 Nb 0.5763 0.7118 0.0000  6 O 1.93-2.07
37 Nb 0.5000 0.0000 0.0000  6 O 1.98-2.01
38 Nb 0.2882 0.5763 0.0000  6 O 1.93-2.07
39 Nb 0.9237 0.2118 0.0000  6 O 1.93-2.07
40 Nb 0.4237 0.2882 0.0000  6 O 1.93-2.07
41 Dy 0.0000 0.0000 0.5000  12 O 2.56-2.70
42 Dy 0.5000 0.5000 0.5000  12 O 2.56-2.70
43 K 0.3293 0.8293 0.5000  7 O 2.84-3.08
44 K 0.8293 0.6707 0.5000  7 O 2.84-3.08
45 K 0.1707 0.3293 0.5000  7 O 2.84-3.08
46 K 0.6707 0.1707 0.5000  7 O 2.84-3.08

Calculated values
**Space group**: No. 127
**Raw total energy**: -0.6129 Ry per atom